DFT (PBE+U) results for crystalline VGaO3 at its relaxed geometry.

Its total energy is -138.84 eV per cell. As for the space group: No. 62.

Lattice parameters (Å, degrees): 5.1400 7.8975 5.1391 90.00 90.00 90.00
Each line ends with the local moment (μB).
Fractional coordinates of all 20 atoms:
O 0.6695 0.9253 0.3430  -0.03
O 0.3747 0.2500 0.1274  -0.01
O 0.6253 0.7500 0.8726  -0.01
O 0.8304 0.4253 0.8430  -0.03
Ga 0.4906 0.7500 0.5165  0.02
O 0.1695 0.5747 0.1570  -0.03
O 0.8747 0.2500 0.3726  -0.01
O 0.8305 0.0747 0.8430  -0.03
V 0.5000 0.5000 0.0000  1.94
O 0.3304 0.4253 0.6570  -0.03
Ga 0.5094 0.2500 0.4835  0.02
O 0.3305 0.0747 0.6570  -0.03
O 0.1253 0.7500 0.6274  -0.01
V 0.0000 0.5000 0.5000  1.94
Ga 0.0094 0.2500 0.0165  0.02
Ga 0.9906 0.7500 0.9835  0.02
V 0.5000 0.0000 0.0000  1.94
V 0.0000 0.0000 0.5000  1.94
O 0.1695 0.9253 0.1570  -0.03
O 0.6696 0.5747 0.3430  -0.03